1.
The following is a PBE calculation of a geometry-optimized Pm2VS5 structure, from Alexandria.

Unit cell a=6.917 b=6.917 c=4.519 alpha=109.06 beta=109.06 gamma=86.78
Sites, in units of the cell vectors:
Pm (0.207, 0.793, 0.000)
Pm (0.793, 0.207, 0.000)
V (0.772, 0.772, 0.274)
S (0.060, 0.060, 0.560)
S (0.067, 0.554, 0.311)
S (0.518, 0.518, 0.017)
S (0.554, 0.067, 0.311)
S (0.777, 0.777, 0.778)

Summary:
density of states at the Fermi level: 3.7 states/eV/cell
crystal system: monoclinic
SG: Cm, No. 8
E_form (uncorrected): -1.48 eV/atom



2.
The following is a PBE calculation of a geometry-optimized Pm6WS12 structure, from Alexandria.

Unit cell a=7.895 b=7.895 c=7.895 alpha=98.38 beta=98.38 gamma=98.38
Sites, in units of the cell vectors:
Pm (0.136, 0.813, 0.641)
Pm (0.187, 0.359, 0.864)
Pm (0.359, 0.864, 0.187)
Pm (0.641, 0.136, 0.813)
Pm (0.813, 0.641, 0.136)
Pm (0.864, 0.187, 0.359)
W (0.500, 0.500, 0.500)
S (0.069, 0.918, 0.323)
S (0.082, 0.677, 0.931)
S (0.195, 0.437, 0.517)
S (0.323, 0.069, 0.918)
S (0.437, 0.517, 0.195)
S (0.483, 0.805, 0.563)
S (0.517, 0.195, 0.437)
S (0.563, 0.483, 0.805)
S (0.677, 0.931, 0.082)
S (0.805, 0.563, 0.483)
S (0.918, 0.323, 0.069)
S (0.931, 0.082, 0.677)

Summary:
crystal system: trigonal
SG: R-3, No. 148
E_form (uncorrected): -1.64 eV/atom



3.
The following is a PBE calculation of a geometry-optimized Pm2WS6 structure, from Alexandria.

Unit cell a=6.250 b=7.303 c=10.642 alpha=90.00 beta=124.57 gamma=90.00
Sites, in units of the cell vectors:
Pm (0.217, 0.114, 0.250)
Pm (0.217, 0.386, 0.750)
Pm (0.783, 0.614, 0.250)
Pm (0.783, 0.886, 0.750)
W (0.500, 0.000, 0.000)
W (0.500, 0.500, 0.500)
S (0.121, 0.165, 0.945)
S (0.121, 0.335, 0.445)
S (0.292, 0.705, 0.945)
S (0.292, 0.795, 0.445)
S (0.348, 0.024, 0.738)
S (0.348, 0.476, 0.238)
S (0.652, 0.524, 0.762)
S (0.652, 0.976, 0.262)
S (0.708, 0.205, 0.555)
S (0.708, 0.295, 0.055)
S (0.879, 0.665, 0.555)
S (0.879, 0.835, 0.055)

Summary:
crystal system: monoclinic
SG: P2_1/c, No. 14
E_form (uncorrected): -1.26 eV/atom



4.
The following is a PBE calculation of a geometry-optimized PmW4S8 structure, from Alexandria.

Unit cell a=8.011 b=8.011 c=8.011 alpha=48.48 beta=48.48 gamma=48.48
Sites, in units of the cell vectors:
Pm (0.000, 0.000, 0.000)
W (0.000, 0.000, 0.500)
W (0.000, 0.500, 0.000)
W (0.500, 0.000, 0.000)
W (0.500, 0.500, 0.500)
S (0.240, 0.240, 0.240)
S (0.248, 0.737, 0.737)
S (0.263, 0.263, 0.752)
S (0.263, 0.752, 0.263)
S (0.737, 0.248, 0.737)
S (0.737, 0.737, 0.248)
S (0.752, 0.263, 0.263)
S (0.760, 0.760, 0.760)

Summary:
density of states at the Fermi level: 8.3 states/eV/cell
crystal system: trigonal
SG: R-3m, No. 166
E_form (uncorrected): -0.62 eV/atom



5.
The following is a PBE calculation of a geometry-optimized PmY4S5 structure, from Alexandria.

Unit cell a=10.443 b=10.443 c=10.443 alpha=158.26 beta=149.05 gamma=38.14
Sites, in units of the cell vectors:
Pm (0.000, 0.000, 0.000)
Y (0.201, 0.201, 0.000)
Y (0.400, 0.400, 0.000)
Y (0.600, 0.600, 0.000)
Y (0.799, 0.799, 0.000)
S (0.104, 0.604, 0.500)
S (0.301, 0.801, 0.500)
S (0.500, 0.000, 0.500)
S (0.699, 0.199, 0.500)
S (0.896, 0.396, 0.500)

Summary:
density of states at the Fermi level: 4.7 states/eV/cell
crystal system: orthorhombic
SG: Immm, No. 71
E_form (uncorrected): -2.00 eV/atom



6.
The following is a PBE calculation of a geometry-optimized PmY3S structure, from Alexandria.

Unit cell a=5.339 b=5.339 c=5.339 alpha=90.00 beta=90.00 gamma=90.00
Sites, in units of the cell vectors:
Pm (0.000, 0.000, 0.000)
Y (0.000, 0.500, 0.500)
Y (0.500, 0.000, 0.500)
Y (0.500, 0.500, 0.000)
S (0.500, 0.500, 0.500)

Summary:
density of states at the Fermi level: 9.8 states/eV/cell
crystal system: cubic
SG: Pm-3m, No. 221
E_form (uncorrected): -0.67 eV/atom



7.
The following is a PBE calculation of a geometry-optimized PmYS2 structure, from Alexandria.

Unit cell a=3.966 b=3.966 c=6.910 alpha=106.76 beta=106.76 gamma=60.18
Sites, in units of the cell vectors:
Pm (0.000, 0.000, 0.000)
Y (0.500, 0.500, 0.500)
S (0.246, 0.246, 0.739)
S (0.754, 0.754, 0.261)

Summary:
density of states at the Fermi level: 1.6 states/eV/cell
crystal system: monoclinic
SG: C2/m, No. 12
E_form (uncorrected): -2.02 eV/atom
relative energy among the computed polymorphs: 0 meV/atom



8.
The following is a PBE calculation of a geometry-optimized Pm6Y2S3 structure, from Alexandria.

Unit cell a=25.116 b=25.116 c=25.116 alpha=8.79 beta=8.79 gamma=8.79
Sites, in units of the cell vectors:
Pm (0.069, 0.069, 0.069)
Pm (0.186, 0.186, 0.186)
Pm (0.357, 0.357, 0.357)
Pm (0.643, 0.643, 0.643)
Pm (0.814, 0.814, 0.814)
Pm (0.931, 0.931, 0.931)
Y (0.442, 0.442, 0.442)
Y (0.558, 0.558, 0.558)
S (0.000, 0.000, 0.000)
S (0.287, 0.287, 0.287)
S (0.713, 0.713, 0.713)

Summary:
density of states at the Fermi level: 10.2 states/eV/cell
crystal system: trigonal
SG: R-3m, No. 166
E_form (uncorrected): -1.04 eV/atom



9.
The following is a PBE calculation of a geometry-optimized Pm3Y5S8 structure, from Alexandria.

Unit cell a=7.942 b=7.942 c=7.942 alpha=59.73 beta=59.73 gamma=59.73
Sites, in units of the cell vectors:
Pm (0.000, 0.500, 0.500)
Pm (0.500, 0.000, 0.500)
Pm (0.500, 0.500, 0.000)
Y (0.000, 0.000, 0.000)
Y (0.000, 0.000, 0.500)
Y (0.000, 0.500, 0.000)
Y (0.500, 0.000, 0.000)
Y (0.500, 0.500, 0.500)
S (0.242, 0.750, 0.750)
S (0.246, 0.246, 0.246)
S (0.250, 0.250, 0.758)
S (0.250, 0.758, 0.250)
S (0.750, 0.242, 0.750)
S (0.750, 0.750, 0.242)
S (0.754, 0.754, 0.754)
S (0.758, 0.250, 0.250)

Summary:
density of states at the Fermi level: 8.9 states/eV/cell
crystal system: trigonal
SG: R-3m, No. 166
E_form (uncorrected): -2.01 eV/atom



10.
The following is a PBE calculation of a geometry-optimized PmY6S8 structure, from Alexandria.

Unit cell a=7.802 b=7.802 c=7.802 alpha=96.53 beta=96.53 gamma=96.53
Sites, in units of the cell vectors:
Pm (0.000, 0.000, 0.000)
Y (0.188, 0.364, 0.560)
Y (0.364, 0.560, 0.188)
Y (0.440, 0.812, 0.636)
Y (0.560, 0.188, 0.364)
Y (0.636, 0.440, 0.812)
Y (0.812, 0.636, 0.440)
S (0.152, 0.669, 0.417)
S (0.228, 0.228, 0.228)
S (0.331, 0.583, 0.848)
S (0.417, 0.152, 0.669)
S (0.583, 0.848, 0.331)
S (0.669, 0.417, 0.152)
S (0.772, 0.772, 0.772)
S (0.848, 0.331, 0.583)

Summary:
density of states at the Fermi level: 8.3 states/eV/cell
crystal system: trigonal
SG: R-3, No. 148
E_form (uncorrected): -1.68 eV/atom
relative energy among the computed polymorphs: 364 meV/atom



11.
The following is a PBE calculation of a geometry-optimized PmY2S3 structure, from Alexandria.

Unit cell a=6.855 b=6.855 c=6.855 alpha=146.44 beta=131.82 gamma=60.00
Sites, in units of the cell vectors:
Pm (0.000, 0.000, 0.000)
Y (0.337, 0.337, 0.000)
Y (0.663, 0.663, 0.000)
S (0.173, 0.673, 0.500)
S (0.500, 0.000, 0.500)
S (0.827, 0.327, 0.500)

Summary:
density of states at the Fermi level: 2.5 states/eV/cell
crystal system: orthorhombic
SG: Immm, No. 71
E_form (uncorrected): -2.01 eV/atom



12.
The following is a PBE calculation of a geometry-optimized Pm2YS3 structure, from Alexandria.

Unit cell a=6.920 b=6.920 c=6.920 alpha=146.44 beta=131.82 gamma=59.99
Sites, in units of the cell vectors:
Pm (0.170, 0.170, 0.000)
Pm (0.830, 0.830, 0.000)
Y (0.500, 0.500, 0.000)
S (0.000, 0.500, 0.500)
S (0.340, 0.840, 0.500)
S (0.660, 0.160, 0.500)

Summary:
density of states at the Fermi level: 2.5 states/eV/cell
crystal system: orthorhombic
SG: Immm, No. 71
E_form (uncorrected): -2.02 eV/atom



13.
The following is a PBE calculation of a geometry-optimized PmYS2 structure, from Alexandria.

Unit cell a=3.930 b=3.930 c=13.348 alpha=90.00 beta=90.00 gamma=120.00
Sites, in units of the cell vectors:
Pm (0.333, 0.667, 0.250)
Pm (0.667, 0.333, 0.750)
Y (0.000, 0.000, 0.000)
Y (0.000, 0.000, 0.500)
S (0.333, 0.667, 0.618)
S (0.333, 0.667, 0.882)
S (0.667, 0.333, 0.118)
S (0.667, 0.333, 0.382)

Summary:
density of states at the Fermi level: 3.0 states/eV/cell
crystal system: hexagonal
SG: P6_3/mmc, No. 194
E_form (uncorrected): -2.01 eV/atom
relative energy among the computed polymorphs: 5 meV/atom



14.
The following is a PBE calculation of a geometry-optimized PmYS2 structure, from Alexandria.

Unit cell a=7.214 b=7.214 c=7.214 alpha=31.37 beta=31.37 gamma=31.37
Sites, in units of the cell vectors:
Pm (0.000, 0.000, 0.000)
Y (0.178, 0.178, 0.178)
S (0.584, 0.584, 0.584)
S (0.760, 0.760, 0.760)

Summary:
density of states at the Fermi level: 0.7 states/eV/cell
crystal system: trigonal
SG: R3m, No. 160
E_form (uncorrected): -1.99 eV/atom
relative energy among the computed polymorphs: 30 meV/atom



15.
The following is a PBE calculation of a geometry-optimized PmY3S4 structure, from Alexandria.

Unit cell a=6.860 b=6.860 c=3.914 alpha=90.00 beta=90.00 gamma=109.05
Sites, in units of the cell vectors:
Pm (0.000, 0.000, 0.000)
Y (0.000, 0.500, 0.500)
Y (0.500, 0.000, 0.500)
Y (0.500, 0.500, 0.000)
S (0.254, 0.746, 0.000)
S (0.258, 0.258, 0.500)
S (0.742, 0.742, 0.500)
S (0.746, 0.254, 0.000)

Summary:
density of states at the Fermi level: 4.9 states/eV/cell
crystal system: orthorhombic
SG: Cmmm, No. 65
E_form (uncorrected): -2.00 eV/atom
relative energy among the computed polymorphs: 0 meV/atom



16.
The following is a PBE calculation of a geometry-optimized Pm2Y6S3 structure, from Alexandria.

Unit cell a=24.707 b=24.707 c=24.707 alpha=8.75 beta=8.75 gamma=8.75
Sites, in units of the cell vectors:
Pm (0.058, 0.058, 0.058)
Pm (0.942, 0.942, 0.942)
Y (0.143, 0.143, 0.143)
Y (0.314, 0.314, 0.314)
Y (0.432, 0.432, 0.432)
Y (0.568, 0.568, 0.568)
Y (0.686, 0.686, 0.686)
Y (0.857, 0.857, 0.857)
S (0.212, 0.212, 0.212)
S (0.500, 0.500, 0.500)
S (0.788, 0.788, 0.788)

Summary:
density of states at the Fermi level: 9.6 states/eV/cell
crystal system: trigonal
SG: R-3m, No. 166
E_form (uncorrected): -1.06 eV/atom



17.
The following is a PBE calculation of a geometry-optimized PmY5S6 structure, from Alexandria.

Unit cell a=6.831 b=6.831 c=6.812 alpha=99.66 beta=99.66 gamma=120.10
Sites, in units of the cell vectors:
Pm (0.000, 0.000, 0.000)
Y (0.163, 0.837, 0.500)
Y (0.334, 0.666, 0.000)
Y (0.500, 0.500, 0.500)
Y (0.666, 0.334, 0.000)
Y (0.837, 0.163, 0.500)
S (0.084, 0.425, 0.254)
S (0.256, 0.256, 0.748)
S (0.425, 0.084, 0.254)
S (0.575, 0.916, 0.746)
S (0.744, 0.744, 0.252)
S (0.916, 0.575, 0.746)

Summary:
density of states at the Fermi level: 4.4 states/eV/cell
crystal system: monoclinic
SG: C2/m, No. 12
E_form (uncorrected): -2.01 eV/atom



18.
The following is a PBE calculation of a geometry-optimized Pm4YS6 structure, from Alexandria.

Unit cell a=6.922 b=6.922 c=20.296 alpha=90.00 beta=90.00 gamma=147.20
Sites, in units of the cell vectors:
Pm (0.090, 0.910, 0.630)
Pm (0.090, 0.910, 0.870)
Pm (0.360, 0.640, 0.541)
Pm (0.360, 0.640, 0.959)
Pm (0.640, 0.360, 0.041)
Pm (0.640, 0.360, 0.459)
Pm (0.910, 0.090, 0.130)
Pm (0.910, 0.090, 0.370)
Y (0.153, 0.847, 0.250)
Y (0.847, 0.153, 0.750)
S (0.000, 0.000, 0.000)
S (0.000, 0.000, 0.500)
S (0.200, 0.800, 0.750)
S (0.271, 0.729, 0.090)
S (0.271, 0.729, 0.410)
S (0.446, 0.554, 0.670)
S (0.446, 0.554, 0.830)
S (0.554, 0.446, 0.170)
S (0.554, 0.446, 0.330)
S (0.729, 0.271, 0.590)
S (0.729, 0.271, 0.910)
S (0.800, 0.200, 0.250)

Summary:
density of states at the Fermi level: 5.0 states/eV/cell
crystal system: orthorhombic
SG: Cmcm, No. 63
E_form (uncorrected): -2.03 eV/atom



19.
The following is a PBE calculation of a geometry-optimized PmY6S8 structure, from Alexandria.

Unit cell a=7.834 b=7.834 c=7.834 alpha=60.00 beta=60.00 gamma=60.00
Sites, in units of the cell vectors:
Pm (0.000, 0.000, 0.000)
Y (0.000, 0.000, 0.500)
Y (0.000, 0.500, 0.000)
Y (0.000, 0.500, 0.500)
Y (0.500, 0.000, 0.000)
Y (0.500, 0.000, 0.500)
Y (0.500, 0.500, 0.000)
S (0.250, 0.250, 0.250)
S (0.256, 0.256, 0.744)
S (0.256, 0.744, 0.256)
S (0.256, 0.744, 0.744)
S (0.744, 0.256, 0.256)
S (0.744, 0.256, 0.744)
S (0.744, 0.744, 0.256)
S (0.750, 0.750, 0.750)

Summary:
density of states at the Fermi level: 6.2 states/eV/cell
crystal system: cubic
SG: Fm-3m, No. 225
E_form (uncorrected): -2.04 eV/atom
relative energy among the computed polymorphs: 0 meV/atom



20.
The following is a PBE calculation of a geometry-optimized Pm5Y3S8 structure, from Alexandria.

Unit cell a=8.001 b=8.001 c=8.001 alpha=59.72 beta=59.72 gamma=59.72
Sites, in units of the cell vectors:
Pm (0.000, 0.000, 0.000)
Pm (0.000, 0.500, 0.500)
Pm (0.500, 0.000, 0.500)
Pm (0.500, 0.500, 0.000)
Pm (0.500, 0.500, 0.500)
Y (0.000, 0.000, 0.500)
Y (0.000, 0.500, 0.000)
Y (0.500, 0.000, 0.000)
S (0.242, 0.750, 0.750)
S (0.246, 0.246, 0.246)
S (0.250, 0.250, 0.758)
S (0.250, 0.758, 0.250)
S (0.750, 0.242, 0.750)
S (0.750, 0.750, 0.242)
S (0.754, 0.754, 0.754)
S (0.758, 0.250, 0.250)

Summary:
density of states at the Fermi level: 8.8 states/eV/cell
crystal system: trigonal
SG: R-3m, No. 166
E_form (uncorrected): -2.02 eV/atom



21.
The following is a PBE calculation of a geometry-optimized PmYS structure, from Alexandria.

Unit cell a=3.847 b=3.847 c=6.437 alpha=90.00 beta=90.00 gamma=120.00
Sites, in units of the cell vectors:
Pm (0.000, 0.000, 0.000)
Y (0.667, 0.333, 0.478)
S (0.333, 0.667, 0.729)

Summary:
density of states at the Fermi level: 1.3 states/eV/cell
crystal system: trigonal
SG: P3m1, No. 156
E_form (uncorrected): -1.28 eV/atom